SnRh4S | PBE-GGA | relaxed

Raw formation energy   -1.2 eV/f.u.
V   16.56 Å³ per atom
Energy   -6.45 eV/atom
Fermi-level density of states   2.99 states/eV/cell

POSCAR file:
```
SnRh4S
1.0
4.038 0.000 0.000
0.000 4.038 0.000
0.000 0.000 6.095
Sn Rh S
1 4 1
Direct
0.000 0.000 0.000
0.000 0.500 0.279
0.000 0.500 0.721
0.500 0.000 0.279
0.500 0.000 0.721
0.500 0.500 0.500
```